Compound: LiMg4
Source: Alexandria via LeMat-Bulk
Functional: PBE-GGA
Structure: optimized geometry

The calculation puts the calculated density at 1.6 g/cm3. The calculation puts the total energy at -1.687 eV per atom. The formation energy comes out at -0.1 eV per formula unit. The density of states at the Fermi level is 3.0 states/eV per cell.

Cell: 11.041 3.468 7.822 Å, 90.00 133.93 90.00°
Space group C2/m (No. 12)
Inequivalent atoms, fractional coordinates:
Li: 0.000 0.000 0.000
Mg: 0.090 0.500 0.380
Mg: 0.213 0.000 0.803